# CaTlP4, optimized geometry, DFT PBE
data_CaTlP4
_chemical_formula_sum 'Ca4 Tl4 P16'
_symmetry_space_group_name_H-M 'F -4 3 m'
_symmetry_Int_Tables_number 216
_symmetry_space_group_name_Hall 'F -4 2 3'
_cell_length_a 7.868
_cell_length_b 7.868
_cell_length_c 7.868
_cell_angle_alpha 90.00
_cell_angle_beta 90.00
_cell_angle_gamma 90.00
loop_
_atom_site_label
_atom_site_fract_x
_atom_site_fract_y
_atom_site_fract_z
Ca1 0.000 0.000 0.000
Tl1 0.250 0.250 0.250
P1 0.110 0.110 0.610
# * uncorrected energy: -102.860 eV per cell

=====

# CaTlP2, optimized geometry, DFT PBE
data_CaTlP2
_chemical_formula_sum 'Ca2 Tl2 P4'
_symmetry_space_group_name_H-M 'I 4/m m m'
_symmetry_Int_Tables_number 139
_symmetry_space_group_name_Hall '-I 4 2'
_cell_length_a 4.478
_cell_length_b 4.478
_cell_length_c 8.681
_cell_angle_alpha 90.00
_cell_angle_beta 90.00
_cell_angle_gamma 90.00
loop_
_atom_site_label
_atom_site_fract_x
_atom_site_fract_y
_atom_site_fract_z
Ca1 0.000 0.000 0.000
Tl1 0.000 0.000 0.500
P1 0.000 0.500 0.250
# * uncorrected energy: -31.227 eV per cell
# * energy above the most stable polymorph in this dataset: 31.4 kJ/mol of atoms